The following is a DFT calculation (GGA-PBE) of a relaxed structure of CaCd2Ni.

magnetic moment: 0.0 μB per cell
final energy: -2.48 eV per atom
calculated formation energy: -0.305 eV/f.u.
crystal system: tetragonal

a b c (Å): 3.447 3.447 7.196
angles (deg): 90.00 90.00 90.00
Space group P4mm (No. 99)
Symmetry-distinct sites (fractional):
Ca  0.000  0.000  0.000 [1 per cell]
Cd  0.000  0.000  0.574 [1 per cell]
Cd  0.500  0.500  0.318 [1 per cell]
Ni  0.500  0.500  0.743 [1 per cell]